# Y8TcAg2 (PBE, optimized geometry)
data_Y8TcAg2
_chemical_formula_sum 'Y16 Tc2 Ag4'
_cell_length_a 17.410
_cell_length_b 5.256
_cell_length_c 6.927
_cell_angle_alpha 90.00
_cell_angle_beta 108.26
_cell_angle_gamma 90.00
_space_group_name_H-M_alt 'C 1 2/m 1'
_space_group_IT_number 12
loop_
_space_group_symop_operation_xyz
'x,y,z'
'-x,-y,-z'
'-x,y,-z'
'x,-y,z'
'x+1/2,y+1/2,z'
'-x+1/2,-y+1/2,-z'
'-x+1/2,y+1/2,-z'
'x+1/2,-y+1/2,z'
loop_
_atom_site_label
_atom_site_type_symbol
_atom_site_fract_x
_atom_site_fract_y
_atom_site_fract_z
_atom_site_occupancy
Y1 Y 0.027 0.000 0.295 1
Y2 Y 0.091 0.500 0.931 1
Y3 Y 0.161 0.500 0.464 1
Y4 Y 0.196 0.000 0.800 1
Tc1 Tc 0.000 0.500 0.500 1
Ag1 Ag 0.184 0.000 0.208 1
# N(E_F) = 24.2 states/eV per cell
# energy above the most stable polymorph in this dataset = 0 meV per atom
# energy of formation from the pure elements = -0.125 eV/atom